No. 1
DFT (PBE) results for a relaxed CaAc2RuO6 crystal.

It has space group P2_1/c (No. 14), with a = 5.847 Å, b = 6.012 Å, c = 10.130 Å, α = 90.00°, β = 124.69° and γ = 90.00°. The asymmetric unit holds Ca at (0.000, 0.000, 0.000), Ac at (0.263, 0.053, 0.751), Ru at (0.500, 0.000, 0.500), O at (0.172, 0.028, 0.266), O at (0.265, 0.690, 0.047) and O at (0.367, 0.220, 0.053).

As for the volume: 14.64 Å³ per atom. The calculation puts the uncorrected formation energy at -2.59 eV/atom. The density of states at the Fermi level comes out at 0.438 states/eV per atom. The calculation puts the theoretical density at 7.84 Mg/m³. The calculation puts the total energy at -7.519 eV per atom.


No. 2
DFT (PBE) results for a relaxed FeW2Br crystal.

It has space group Pmmm (No. 47), with a = 2.958 Å, b = 3.347 Å, c = 6.894 Å, α = 90.00°, β = 90.00° and γ = 90.00°. The asymmetric unit holds Fe at (0.000, 0.000, 0.000), W at (0.500, 0.500, 0.185) and Br at (0.000, 0.000, 0.500).

As for the volume: 17.06 Å³ per atom. The calculation puts the uncorrected formation energy at 0.81 eV/atom. The density of states at the Fermi level comes out at 0.785 states/eV per atom. The calculation puts the theoretical density at 12.25 Mg/m³. The calculation puts the total energy at -8.204 eV per atom.


No. 3
DFT (PBE) results for a relaxed SrSiAg crystal.

It has space group I4mm (No. 107), with a = 3.650 Å, b = 3.650 Å, c = 11.046 Å, α = 90.00°, β = 90.00° and γ = 90.00°. The asymmetric unit holds Sr at (0.000, 0.000, 0.000), Si at (0.000, 0.000, 0.703) and Ag at (0.000, 0.000, 0.290).

As for the volume: 24.52 Å³ per atom. The calculation puts the uncorrected formation energy at 0.02 eV/atom. The density of states at the Fermi level comes out at 0.928 states/eV per atom. The calculation puts the theoretical density at 5.05 Mg/m³. The calculation puts the total energy at -3.296 eV per atom.


No. 4
DFT (PBE) results for a relaxed TaTi3Sb crystal.

It has space group Pm-3m (No. 221), with a = 4.881 Å, b = 4.881 Å, c = 4.881 Å, α = 90.00°, β = 90.00° and γ = 90.00°. The asymmetric unit holds Ta at (0.000, 0.000, 0.000), Ti at (0.000, 0.500, 0.500) and Sb at (0.500, 0.500, 0.500).

As for the volume: 23.26 Å³ per atom. The calculation puts the uncorrected formation energy at 1.11 eV/atom. The density of states at the Fermi level comes out at 0.760 states/eV per atom. The calculation puts the theoretical density at 6.37 Mg/m³. The calculation puts the total energy at -6.819 eV per atom.


No. 5
DFT (PBE) results for a relaxed Ta2PIr crystal.

It has space group Cmmm (No. 65), with a = 5.649 Å, b = 7.181 Å, c = 3.138 Å, α = 90.00°, β = 90.00° and γ = 90.00°. The asymmetric unit holds Ta at (0.250, 0.250, 0.000), P at (0.000, 0.000, 0.500) and Ir at (0.000, 0.500, 0.500).

As for the volume: 15.91 Å³ per atom. The density of states at the Fermi level comes out at 0.856 states/eV per atom. The calculation puts the theoretical density at 15.26 Mg/m³. The calculation puts the total energy at -9.814 eV per atom.


No. 6
DFT (PBE) results for a relaxed RbAg4Sb3 crystal.

It has space group P4/mmm (No. 123), with a = 4.922 Å, b = 4.922 Å, c = 8.834 Å, α = 90.00°, β = 90.00° and γ = 90.00°. The asymmetric unit holds Rb at (0.000, 0.000, 0.000), Ag at (0.000, 0.500, 0.326), Sb at (0.000, 0.000, 0.500) and Sb at (0.500, 0.500, 0.163).

As for the volume: 26.76 Å³ per atom. The calculation puts the uncorrected formation energy at -0.07 eV/atom. The density of states at the Fermi level comes out at 0.503 states/eV per atom. The calculation puts the theoretical density at 6.84 Mg/m³. The calculation puts the total energy at -3.165 eV per atom.


No. 7
DFT (PBE) results for a relaxed Ba8AsPt3Br4 crystal.

It has space group R-3m (No. 166, hexagonal axes), with a = 9.2985 Å, b = 9.2985 Å, c = 24.5844 Å, α = 90.00°, β = 90.00° and γ = 120.00°. The asymmetric unit holds Ba at (0.0000, 0.0000, 0.2406), Ba at (0.0059, 0.5030, 0.7632), As at (0.0000, 0.0000, 0.5000), Pt at (0.0000, 0.5000, 0.5000), Br at (0.0000, 0.0000, 0.0000) and Br at (0.0000, 0.5000, 0.0000).

As for the volume: 38.35 Å³ per atom. The calculation puts the uncorrected formation energy at -1.34 eV/atom. The density of states at the Fermi level comes out at 0.586 states/eV per atom. The calculation puts the theoretical density at 5.62 Mg/m³. The calculation puts the total energy at -4.143 eV per atom.


No. 8
DFT (PBE) results for a relaxed ZrHg2Pb crystal.

It has space group Cm (No. 8), with a = 11.522 Å, b = 3.296 Å, c = 5.647 Å, α = 90.00°, β = 115.43° and γ = 90.00°. The asymmetric unit holds Zr at (0.000, 0.000, 0.000), Hg at (0.223, 0.500, 0.423), Hg at (0.482, 0.000, 0.520) and Pb at (0.254, 0.000, 0.941).

As for the volume: 24.20 Å³ per atom. The density of states at the Fermi level comes out at 0.821 states/eV per atom. The calculation puts the theoretical density at 12.00 Mg/m³. The calculation puts the total energy at -3.240 eV per atom.


No. 9
DFT (PBE) results for a relaxed Ce2PrBrO4 crystal.

It has space group P4/mmm (No. 123), with a = 4.061 Å, b = 4.061 Å, c = 9.229 Å, α = 90.00°, β = 90.00° and γ = 90.00°. The asymmetric unit holds Ce at (0.000, 0.000, 0.231), Pr at (0.500, 0.500, 0.500), Br at (0.500, 0.500, 0.000) and O at (0.000, 0.500, 0.339).

As for the volume: 19.03 Å³ per atom. The calculation puts the uncorrected formation energy at -3.11 eV/atom. The density of states at the Fermi level comes out at 1.411 states/eV per atom. The calculation puts the theoretical density at 6.16 Mg/m³. The calculation puts the total energy at -7.874 eV per atom.


No. 10
DFT (PBE) results for a relaxed HoErTiAl crystal.

It has space group F-43m (No. 216), with a = 7.227 Å, b = 7.227 Å, c = 7.227 Å, α = 90.00°, β = 90.00° and γ = 90.00°. The asymmetric unit holds Ho at (0.000, 0.000, 0.000), Er at (0.000, 0.000, 0.500), Ti at (0.250, 0.250, 0.250) and Al at (0.250, 0.250, 0.750).

As for the volume: 23.59 Å³ per atom. The density of states at the Fermi level comes out at 1.292 states/eV per atom. The calculation puts the theoretical density at 7.16 Mg/m³. The calculation puts the total energy at -5.253 eV per atom.


No. 11
DFT (PBE) results for a relaxed NdMn2Si2Pt7 crystal.

It has space group Cmmm (No. 65), with a = 5.723 Å, b = 5.842 Å, c = 11.986 Å, α = 90.00°, β = 90.00° and γ = 90.00°. The asymmetric unit holds Nd at (0.000, 0.000, 0.000), Mn at (0.000, 0.000, 0.338), Si at (0.000, 0.500, 0.313), Pt at (0.000, 0.274, 0.500), Pt at (0.000, 0.500, 0.000) and Pt at (0.250, 0.250, 0.191).

As for the volume: 16.70 Å³ per atom. The calculation puts the uncorrected formation energy at -0.53 eV/atom. The density of states at the Fermi level comes out at 0.308 states/eV per atom. The calculation puts the theoretical density at 13.89 Mg/m³. The calculation puts the total energy at -6.885 eV per atom.


No. 12
DFT (PBE) results for a relaxed Tb2HoTe crystal.

It has space group R3m (No. 160, hexagonal axes), with a = 3.8900 Å, b = 3.8900 Å, c = 29.2248 Å, α = 90.00°, β = 90.00° and γ = 120.00°. The asymmetric unit holds Tb at (0.0000, 0.0000, 0.0000), Tb at (0.0000, 0.0000, 0.1880), Ho at (0.0000, 0.0000, 0.4270) and Te at (0.0000, 0.0000, 0.5939).

As for the volume: 31.92 Å³ per atom. The calculation puts the uncorrected formation energy at -0.53 eV/atom. The density of states at the Fermi level comes out at 1.223 states/eV per atom. The calculation puts the theoretical density at 7.94 Mg/m³. The calculation puts the total energy at -4.780 eV per atom.


Question: Which of these has the highest volume?
Answer: Ba8AsPt3Br4


Question: What is the volume in the twelfth record?
Answer: 31.92 Å³ per atom